# 1
Material: Ca2MnMo
Method: DFT, PBE
State: optimized geometry

abc: 4.899 4.288 4.288
angles: 90.00 90.00 90.00
Atoms (fractional coordinates):
Ca1 0.000 0.000 0.000
Ca2 0.000 0.500 0.500
Mn1 0.500 0.500 0.000
Mo1 0.500 0.000 0.500

Values from the calculation:
- polymorph energy (0 for the lowest one) (kJ/mol of formula units) = 191

***

# 2
Material: BaP2Pb
Method: DFT, PBE
State: optimized geometry

abc: 5.868 5.868 5.015
angles: 97.62 97.62 44.88
Atoms (fractional coordinates):
Ba1 0.251 0.251 0.162
P1 0.947 0.947 0.981
Pb1 0.524 0.524 0.683
P2 0.778 0.778 0.674

***

# 3
Material: K3Y2RuO6
Method: DFT, PBE
State: optimized geometry

abc: 5.835 5.835 6.505
angles: 98.54 98.54 119.95
Atoms (fractional coordinates):
O1 0.062 0.380 0.187
O2 0.257 0.257 0.814
O3 0.938 0.620 0.813
Ru1 0.000 0.000 0.000
O4 0.743 0.743 0.186
O5 0.620 0.938 0.813
Y1 0.333 0.667 0.000
K1 0.161 0.839 0.500
K2 0.500 0.500 0.500
K3 0.839 0.161 0.500
O6 0.380 0.062 0.187
Y2 0.667 0.333 0.000

Values from the calculation:
- uncorrected formation energy (eV/atom) = -2.10

***

# 4
Material: PaTaAs2N
Method: DFT, PBE
State: optimized geometry

abc: 3.737 3.737 12.997
angles: 90.00 90.00 90.00
Atoms (fractional coordinates):
As1 0.500 0.000 0.285
Pa1 0.000 0.500 0.403
As2 0.000 0.500 0.128
As3 0.000 0.500 0.715
Ta1 0.000 0.500 0.921
N1 0.000 0.000 0.500
Ta2 0.500 0.000 0.079
As4 0.500 0.000 0.872
N2 0.500 0.500 0.500
Pa2 0.500 0.000 0.597

Values from the calculation:
- uncorrected formation energy (eV/atom) = -0.93

***

# 5
Material: NaBH5
Method: DFT, PBE
State: optimized geometry

abc: 5.046 5.046 6.163
angles: 53.09 53.09 68.96
Atoms (fractional coordinates):
H1 0.304 0.132 0.789
Na1 0.525 0.475 0.250
H2 0.868 0.696 0.711
H3 0.869 0.303 0.902
H4 0.131 0.697 0.098
B1 0.000 0.000 0.000
B2 0.000 0.000 0.500
H5 0.696 0.868 0.211
H6 0.697 0.131 0.598
H7 0.132 0.304 0.289
Na2 0.475 0.525 0.750
H8 0.991 0.009 0.250
H9 0.009 0.991 0.750
H10 0.303 0.869 0.402

***

# 6
Material: La3SmDy12
Method: DFT, PBE
State: optimized geometry

abc: 5.075 5.075 20.302
angles: 90.00 90.00 90.00
Atoms (fractional coordinates):
La1 0.000 0.000 0.500
Dy1 0.500 0.500 0.000
Dy2 0.500 0.500 0.752
Dy3 0.500 0.000 0.626
La2 0.000 0.000 0.750
Dy4 0.000 0.500 0.626
Sm1 0.000 0.000 0.000
Dy5 0.000 0.500 0.374
Dy6 0.500 0.000 0.123
Dy7 0.500 0.000 0.877
Dy8 0.000 0.500 0.123
Dy9 0.000 0.500 0.877
La3 0.000 0.000 0.250
Dy10 0.500 0.500 0.248
Dy11 0.500 0.000 0.374
Dy12 0.500 0.500 0.500

***

# 7
Material: K2Ba2Pb15
Method: DFT, PBE
State: optimized geometry

abc: 8.831 8.831 8.831
angles: 82.04 82.04 82.04
Atoms (fractional coordinates):
K1 0.098 0.098 0.098
Pb1 0.309 0.000 0.691
Pb2 0.352 0.352 0.842
K2 0.902 0.902 0.902
Pb3 0.000 0.309 0.691
Pb4 0.000 0.500 0.000
Pb5 0.691 0.309 0.000
Pb6 0.842 0.352 0.352
Pb7 0.000 0.691 0.309
Ba1 0.645 0.645 0.645
Pb8 0.000 0.000 0.500
Pb9 0.648 0.158 0.648
Ba2 0.355 0.355 0.355
Pb10 0.648 0.648 0.158
Pb11 0.500 0.000 0.000
Pb12 0.691 0.000 0.309
Pb13 0.158 0.648 0.648
Pb14 0.352 0.842 0.352
Pb15 0.309 0.691 0.000

***

# 8
Material: RbTaPO2
Method: DFT, PBE
State: optimized geometry

abc: 4.103 4.103 5.081
angles: 90.00 90.00 90.00
Atoms (fractional coordinates):
Rb1 0.500 0.500 0.500
O1 0.000 0.500 0.000
Ta1 0.000 0.000 0.000
P1 0.000 0.000 0.500
O2 0.500 0.000 0.000

Values from the calculation:
- polymorph energy (0 for the lowest one) (kJ/mol of formula units) = 0
- uncorrected formation energy (eV/atom) = -1.37

***

# 9
Material: USiOsC
Method: DFT, PBE
State: optimized geometry

abc: 3.883 3.883 8.255
angles: 90.00 90.00 90.00
Atoms (fractional coordinates):
Si1 0.000 0.500 0.333
U1 0.000 0.500 0.840
Si2 0.500 0.000 0.667
U2 0.500 0.000 0.160
Os1 0.000 0.000 0.500
Os2 0.500 0.500 0.500
C1 0.000 0.500 0.110
C2 0.500 0.000 0.890

Values from the calculation:
- uncorrected formation energy (eV/atom) = -0.19

***

# 10
Material: CoPbIN2
Method: DFT, PBE
State: optimized geometry

abc: 4.214 4.214 6.208
angles: 90.00 90.00 90.00
Atoms (fractional coordinates):
Pb1 0.000 0.000 0.000
N1 0.000 0.500 0.000
I1 0.000 0.000 0.500
N2 0.500 0.000 0.000
Co1 0.500 0.500 0.500

Values from the calculation:
- uncorrected formation energy (eV/atom) = 1.98

***

# 11
Material: YPuSc3
Method: DFT, PBE
State: optimized geometry

abc: 5.902 9.334 9.334
angles: 87.49 94.94 94.94
Atoms (fractional coordinates):
Pu1 0.250 0.065 0.935
Sc1 0.554 0.132 0.259
Sc2 0.054 0.259 0.132
Pu2 0.750 0.126 0.874
Sc3 0.416 0.641 0.003
Sc4 0.916 0.003 0.641
Y1 0.921 0.324 0.473
Y2 0.579 0.527 0.676
Pu3 0.250 0.874 0.126
Sc5 0.946 0.741 0.868
Y3 0.421 0.473 0.324
Sc6 0.591 0.816 0.398
Sc7 0.446 0.868 0.741
Sc8 0.584 0.359 0.997
Y4 0.079 0.676 0.527
Sc9 0.091 0.398 0.816
Sc10 0.409 0.184 0.602
Sc11 0.084 0.997 0.359
Pu4 0.750 0.935 0.065
Sc12 0.909 0.602 0.184

***

# 12
Material: Cs2RbRhO4
Method: DFT, PBE
State: optimized geometry

abc: 6.401 6.401 6.401
angles: 103.99 112.28 112.28
Atoms (fractional coordinates):
Cs1 0.500 0.750 0.250
Rb1 0.500 0.250 0.750
O1 0.019 0.223 0.532
Rh1 0.000 0.500 0.500
O2 0.308 0.795 0.777
O3 0.692 0.468 0.487
O4 0.981 0.513 0.205
Cs2 0.000 0.000 0.000

Values from the calculation:
- uncorrected formation energy (eV/atom) = -1.04

***

# 13
Material: Ac3HoCl
Method: DFT, PBE
State: optimized geometry

abc: 5.807 5.807 5.807
angles: 90.00 90.00 90.00
Atoms (fractional coordinates):
Cl1 0.000 0.000 0.000
Ac1 0.000 0.000 0.500
Ac2 0.000 0.500 0.000
Ac3 0.500 0.000 0.000
Ho1 0.500 0.500 0.500

Values from the calculation:
- uncorrected formation energy (eV/atom) = -0.45

***

# 14
Material: Tm2Ga5Co
Method: DFT, PBE
State: optimized geometry

abc: 5.956 5.956 5.956
angles: 91.28 119.26 119.26
Atoms (fractional coordinates):
Ga1 0.440 0.721 0.721
Tm1 0.500 0.254 0.754
Tm2 0.500 0.754 0.254
Ga2 0.000 0.282 0.721
Ga3 0.000 0.247 0.247
Ga4 0.560 0.282 0.282
Ga5 0.000 0.721 0.282
Co1 0.000 0.961 0.961

***

# 15
Material: MnZnFe2C
Method: DFT, PBE
State: optimized geometry

abc: 3.781 3.781 3.857
angles: 90.00 90.00 90.00
Atoms (fractional coordinates):
Fe1 0.000 0.500 0.000
Zn1 0.500 0.500 0.500
Fe2 0.500 0.000 0.000
C1 0.000 0.000 0.000
Mn1 0.000 0.000 0.500

***

# 16
Material: La4PrCd
Method: DFT, PBE
State: optimized geometry

abc: 5.857 6.658 11.003
angles: 90.00 105.44 90.00
Atoms (fractional coordinates):
La1 0.059 0.707 0.117
La2 0.243 0.641 0.486
Cd1 0.390 0.450 0.780
La3 0.690 0.547 0.381
La4 0.457 0.893 0.915
Pr1 0.133 0.196 0.265
Cd2 0.610 0.950 0.220
La5 0.757 0.141 0.514
Pr2 0.867 0.696 0.735
La6 0.941 0.207 0.883
La7 0.310 0.047 0.619
La8 0.543 0.393 0.085

Values from the calculation:
- polymorph energy (0 for the lowest one) (kJ/mol of formula units) = 56

***

# 17
Material: NbGeO3
Method: DFT, PBE
State: optimized geometry

abc: 4.012 4.012 4.012
angles: 90.00 90.00 90.00
Atoms (fractional coordinates):
Nb1 0.000 0.000 0.000
O1 0.500 0.000 0.000
O2 0.000 0.500 0.000
O3 0.000 0.000 0.500
Ge1 0.500 0.500 0.500

Values from the calculation:
- uncorrected formation energy (eV/atom) = -1.61

***

# 18
Material: La2Sc2As
Method: DFT, PBE
State: optimized geometry

abc: 9.981 9.981 9.981
angles: 157.34 157.34 32.26
Atoms (fractional coordinates):
La1 0.586 0.586 0.000
Sc1 0.750 0.250 0.500
As1 0.000 0.000 0.000
La2 0.414 0.414 0.000
Sc2 0.250 0.750 0.500

Values from the calculation:
- polymorph energy (0 for the lowest one) (kJ/mol of formula units) = 79

***

# 19
Material: MgSnRh2N
Method: DFT, PBE
State: optimized geometry

abc: 4.111 4.751 4.111
angles: 90.00 90.00 90.00
Atoms (fractional coordinates):
N1 0.000 0.000 0.000
Mg1 0.500 0.500 0.500
Sn1 0.000 0.500 0.000
Rh1 0.500 0.000 0.000
Rh2 0.000 0.000 0.500

Values from the calculation:
- uncorrected formation energy (eV/atom) = 0.16

***

# 20
Material: Ge3OsO
Method: DFT, PBE
State: optimized geometry

abc: 4.704 4.704 4.704
angles: 90.00 90.00 90.00
Atoms (fractional coordinates):
O1 0.500 0.500 0.500
Ge1 0.500 0.000 0.000
Ge2 0.000 0.000 0.500
Ge3 0.000 0.500 0.000
Os1 0.000 0.000 0.000

Values from the calculation:
- polymorph energy (0 for the lowest one) (kJ/mol of formula units) = 0
- uncorrected formation energy (eV/atom) = 0.34

***

# 21
Material: LaGa3Fe10C
Method: DFT, PBE
State: optimized geometry

abc: 8.357 8.278 8.240
angles: 60.79 59.83 59.38
Atoms (fractional coordinates):
La1 0.252 0.248 0.248
Ga1 0.438 0.196 0.562
La2 0.752 0.748 0.748
Fe1 0.934 0.714 0.290
Fe2 0.562 0.215 0.790
Fe3 0.286 0.066 0.938
Ga2 0.195 0.443 0.805
Fe4 0.714 0.063 0.286
Fe5 0.438 0.562 0.786
C1 0.001 0.499 0.499
Ga3 0.305 0.695 0.064
C2 0.501 0.999 0.999
Fe6 0.433 0.790 0.215
Ga4 0.804 0.562 0.196
Fe7 0.785 0.438 0.567
Fe8 0.062 0.290 0.714
Fe9 0.788 0.212 0.428
Fe10 0.710 0.938 0.066
Fe11 0.572 0.428 0.212
Ga5 0.936 0.064 0.695
Fe12 0.065 0.935 0.295
Fe13 0.210 0.567 0.438
Fe14 0.998 0.002 0.002
Fe15 0.705 0.295 0.935
Ga6 0.557 0.805 0.443
Fe16 0.501 0.499 0.499
Fe17 0.214 0.786 0.562
Fe18 0.280 0.936 0.720
Fe19 0.064 0.720 0.936
Fe20 0.937 0.286 0.063

***

# 22
Material: LaCeSm2Tl4
Method: DFT, PBE
State: optimized geometry

abc: 5.525 5.525 9.572
angles: 73.22 73.22 60.00
Atoms (fractional coordinates):
Ce1 0.500 0.500 0.500
Sm1 0.750 0.750 0.750
Sm2 0.250 0.250 0.250
Tl1 0.376 0.376 0.872
Tl2 0.624 0.624 0.128
La1 0.000 0.000 0.000
Tl3 0.874 0.874 0.378
Tl4 0.126 0.126 0.622

***

# 23
Material: Sr2PmIn
Method: DFT, PBE
State: optimized geometry

abc: 3.842 3.842 13.450
angles: 81.79 81.79 60.00
Atoms (fractional coordinates):
Sr1 0.086 0.086 0.741
Sr2 0.914 0.914 0.259
Pm1 0.500 0.500 0.500
In1 0.000 0.000 0.000

***

| no. | total DFT energy (no corrections) (eV per atom) |
| --- | --- |
| 1 | -5.140 |
| 2 | -4.594 |
| 3 | -6.704 |
| 4 | -8.722 |
| 5 | -3.321 |
| 6 | -4.642 |
| 7 | -3.409 |
| 8 | -6.998 |
| 9 | -9.483 |
| 10 | -3.819 |
| 11 | -7.859 |
| 12 | -4.777 |
| 13 | -4.196 |
| 14 | -4.277 |
| 15 | -7.315 |
| 16 | -4.246 |
| 17 | -7.522 |
| 18 | -5.632 |
| 19 | -5.567 |
| 20 | -5.672 |
| 21 | -7.357 |
| 22 | -4.066 |
| 23 | -2.507 |